Entry 1:
# CoSi2Ni2 PBE relaxed
data_CoSi2Ni2
_chemical_formula_sum 'Co2 Si4 Ni4'
_symmetry_space_group_name_H-M 'P 1'
_symmetry_Int_Tables_number 1
_cell_length_a 6.377
_cell_length_b 6.377
_cell_length_c 2.788
_cell_angle_alpha 90.00
_cell_angle_beta 90.00
_cell_angle_gamma 90.00
loop_
_symmetry_equiv_pos_as_xyz
'x,y,z'
loop_
_atom_site_label
_atom_site_fract_x
_atom_site_fract_y
_atom_site_fract_z
Ni1 0.642 0.858 0.500
Ni2 0.858 0.358 0.500
Ni3 0.142 0.642 0.500
Ni4 0.358 0.142 0.500
Si1 0.155 0.345 0.000
Si2 0.655 0.155 0.000
Si3 0.845 0.655 0.000
Si4 0.345 0.845 0.000
Co1 0.500 0.500 0.000
Co2 0.000 0.000 0.000
# Energy relative to the lowest polymorph listed for this composition: 0 meV/atom
# ΔE_f (raw): -0.374 eV/atom

=====

Entry 2:
# CoSiNi6 PBE relaxed
data_CoSiNi6
_chemical_formula_sum 'Co1 Si1 Ni6'
_symmetry_space_group_name_H-M 'P 1'
_symmetry_Int_Tables_number 1
_cell_length_a 6.268
_cell_length_b 6.294
_cell_length_c 4.456
_cell_angle_alpha 45.08
_cell_angle_beta 45.42
_cell_angle_gamma 59.84
loop_
_symmetry_equiv_pos_as_xyz
'x,y,z'
loop_
_atom_site_label
_atom_site_fract_x
_atom_site_fract_y
_atom_site_fract_z
Ni1 0.511 0.250 0.236
Ni2 0.007 0.506 0.237
Ni3 0.993 0.494 0.763
Ni4 0.750 0.993 0.763
Ni5 0.489 0.750 0.764
Ni6 0.250 0.007 0.237
Co1 0.500 0.500 0.500
Si1 0.000 0.000 0.000
# Energy relative to the lowest polymorph listed for this composition: 137 meV/atom
# ΔE_f (raw): -0.057 eV/atom

=====

Entry 3:
# CoSi4Ni7 PBE relaxed
data_CoSi4Ni7
_chemical_formula_sum 'Co1 Si4 Ni7'
_symmetry_space_group_name_H-M 'P 1'
_symmetry_Int_Tables_number 1
_cell_length_a 4.972
_cell_length_b 5.475
_cell_length_c 5.736
_cell_angle_alpha 83.14
_cell_angle_beta 62.58
_cell_angle_gamma 100.64
loop_
_symmetry_equiv_pos_as_xyz
'x,y,z'
loop_
_atom_site_label
_atom_site_fract_x
_atom_site_fract_y
_atom_site_fract_z
Ni1 0.288 0.637 0.837
Ni2 0.712 0.363 0.163
Ni3 0.012 0.348 0.663
Ni4 0.249 0.992 0.499
Ni5 0.751 0.008 0.501
Ni6 0.500 0.000 0.000
Ni7 0.988 0.652 0.337
Si1 0.515 0.702 0.337
Si2 0.207 0.304 0.189
Si3 0.793 0.696 0.811
Si4 0.485 0.298 0.663
Co1 0.000 0.000 0.000
# ΔE_f (raw): -0.413 eV/atom

=====

Entry 4:
# SmCoSi2Ni PBE relaxed
data_SmCoSi2Ni
_chemical_formula_sum 'Sm1 Co1 Si2 Ni1'
_symmetry_space_group_name_H-M 'P 1'
_symmetry_Int_Tables_number 1
_cell_length_a 3.976
_cell_length_b 3.976
_cell_length_c 5.626
_cell_angle_alpha 110.70
_cell_angle_beta 110.70
_cell_angle_gamma 90.00
loop_
_symmetry_equiv_pos_as_xyz
'x,y,z'
loop_
_atom_site_label
_atom_site_fract_x
_atom_site_fract_y
_atom_site_fract_z
Si1 0.629 0.629 0.258
Si2 0.371 0.371 0.742
Co1 0.750 0.250 0.500
Sm1 0.000 0.000 0.000
Ni1 0.250 0.750 0.500
# ΔE_f (raw): -0.794 eV/atom

=====

Entry 5:
# SmCoSi2Ni2 PBE relaxed
data_SmCoSi2Ni2
_chemical_formula_sum 'Sm1 Co1 Si2 Ni2'
_symmetry_space_group_name_H-M 'P 1'
_symmetry_Int_Tables_number 1
_cell_length_a 4.274
_cell_length_b 4.274
_cell_length_c 5.203
_cell_angle_alpha 90.00
_cell_angle_beta 90.00
_cell_angle_gamma 90.00
loop_
_symmetry_equiv_pos_as_xyz
'x,y,z'
loop_
_atom_site_label
_atom_site_fract_x
_atom_site_fract_y
_atom_site_fract_z
Ni1 0.500 0.500 0.750
Ni2 0.500 0.500 0.250
Si1 0.500 0.000 0.000
Si2 0.000 0.500 0.000
Co1 0.000 0.000 0.000
Sm1 0.000 0.000 0.500
# ΔE_f (raw): -0.293 eV/atom

=====

Entry 6:
# Sm2Co3SiNi12 PBE relaxed
data_Sm2Co3SiNi12
_chemical_formula_sum 'Sm2 Co3 Si1 Ni12'
_symmetry_space_group_name_H-M 'P 1'
_symmetry_Int_Tables_number 1
_cell_length_a 9.022
_cell_length_b 9.022
_cell_length_c 9.022
_cell_angle_alpha 38.68
_cell_angle_beta 38.68
_cell_angle_gamma 38.68
loop_
_symmetry_equiv_pos_as_xyz
'x,y,z'
loop_
_atom_site_label
_atom_site_fract_x
_atom_site_fract_y
_atom_site_fract_z
Ni1 0.930 0.349 0.930
Ni2 0.417 0.811 0.417
Ni3 0.349 0.930 0.930
Ni4 0.583 0.189 0.583
Ni5 0.070 0.651 0.070
Ni6 0.811 0.417 0.417
Ni7 0.651 0.070 0.070
Ni8 0.583 0.583 0.189
Ni9 0.189 0.583 0.583
Ni10 0.417 0.417 0.811
Ni11 0.930 0.930 0.349
Ni12 0.070 0.070 0.651
Sm1 0.652 0.652 0.652
Sm2 0.348 0.348 0.348
Co1 0.000 0.500 0.000
Co2 0.500 0.000 0.000
Co3 0.000 0.000 0.500
Si1 0.000 0.000 0.000
# ΔE_f (raw): 0.160 eV/atom

=====

Entry 7:
# Tb3CoSi6Ni2 PBE relaxed
data_Tb3CoSi6Ni2
_chemical_formula_sum 'Tb3 Co1 Si6 Ni2'
_symmetry_space_group_name_H-M 'P 1'
_symmetry_Int_Tables_number 1
_cell_length_a 5.684
_cell_length_b 5.684
_cell_length_c 7.527
_cell_angle_alpha 90.00
_cell_angle_beta 90.00
_cell_angle_gamma 120.00
loop_
_symmetry_equiv_pos_as_xyz
'x,y,z'
loop_
_atom_site_label
_atom_site_fract_x
_atom_site_fract_y
_atom_site_fract_z
Si1 0.380 0.190 0.690
Si2 0.620 0.810 0.310
Si3 0.190 0.380 0.310
Si4 0.810 0.620 0.690
Si5 0.810 0.190 0.690
Si6 0.190 0.810 0.310
Co1 0.000 0.000 0.500
Tb1 0.333 0.667 0.662
Tb2 0.667 0.333 0.338
Tb3 0.000 0.000 0.000
Ni1 0.667 0.333 0.936
Ni2 0.333 0.667 0.064
# ΔE_f (raw): -0.345 eV/atom

=====

Entry 8:
# TbCoSi2Ni2 PBE relaxed
data_TbCoSi2Ni2
_chemical_formula_sum 'Tb1 Co1 Si2 Ni2'
_symmetry_space_group_name_H-M 'P 1'
_symmetry_Int_Tables_number 1
_cell_length_a 4.257
_cell_length_b 4.257
_cell_length_c 5.147
_cell_angle_alpha 90.00
_cell_angle_beta 90.00
_cell_angle_gamma 90.00
loop_
_symmetry_equiv_pos_as_xyz
'x,y,z'
loop_
_atom_site_label
_atom_site_fract_x
_atom_site_fract_y
_atom_site_fract_z
Si1 0.500 0.000 0.000
Si2 0.000 0.500 0.000
Tb1 0.000 0.000 0.500
Ni1 0.500 0.500 0.748
Ni2 0.500 0.500 0.252
Co1 0.000 0.000 0.000
# ΔE_f (raw): -0.304 eV/atom

=====

Entry 9:
# Tb2CoSi4Ni3 PBE relaxed
data_Tb2CoSi4Ni3
_chemical_formula_sum 'Tb2 Co1 Si4 Ni3'
_symmetry_space_group_name_H-M 'P 1'
_symmetry_Int_Tables_number 1
_cell_length_a 3.949
_cell_length_b 3.949
_cell_length_c 9.565
_cell_angle_alpha 90.00
_cell_angle_beta 90.00
_cell_angle_gamma 90.00
loop_
_symmetry_equiv_pos_as_xyz
'x,y,z'
loop_
_atom_site_label
_atom_site_fract_x
_atom_site_fract_y
_atom_site_fract_z
Ni1 0.000 0.500 0.127
Ni2 0.500 0.000 0.873
Ni3 0.000 0.000 0.500
Si1 0.500 0.000 0.629
Si2 0.000 0.000 0.000
Si3 0.000 0.500 0.371
Si4 0.500 0.500 0.000
Tb1 0.000 0.500 0.751
Tb2 0.500 0.000 0.249
Co1 0.500 0.500 0.500
# ΔE_f (raw): -0.831 eV/atom

=====

Entry 10:
# TbCoSi2Ni PBE relaxed
data_TbCoSi2Ni
_chemical_formula_sum 'Tb1 Co1 Si2 Ni1'
_symmetry_space_group_name_H-M 'P 1'
_symmetry_Int_Tables_number 1
_cell_length_a 3.936
_cell_length_b 3.936
_cell_length_c 5.585
_cell_angle_alpha 110.63
_cell_angle_beta 110.63
_cell_angle_gamma 90.00
loop_
_symmetry_equiv_pos_as_xyz
'x,y,z'
loop_
_atom_site_label
_atom_site_fract_x
_atom_site_fract_y
_atom_site_fract_z
Tb1 0.000 0.000 0.000
Si1 0.627 0.627 0.254
Si2 0.373 0.373 0.746
Ni1 0.250 0.750 0.500
Co1 0.750 0.250 0.500
# ΔE_f (raw): -0.822 eV/atom

=====

Entry 11:
# Tb2Co3SiNi12 PBE relaxed
data_Tb2Co3SiNi12
_chemical_formula_sum 'Tb2 Co3 Si1 Ni12'
_symmetry_space_group_name_H-M 'P 1'
_symmetry_Int_Tables_number 1
_cell_length_a 9.022
_cell_length_b 9.022
_cell_length_c 9.022
_cell_angle_alpha 38.40
_cell_angle_beta 38.40
_cell_angle_gamma 38.40
loop_
_symmetry_equiv_pos_as_xyz
'x,y,z'
loop_
_atom_site_label
_atom_site_fract_x
_atom_site_fract_y
_atom_site_fract_z
Ni1 0.074 0.074 0.647
Ni2 0.811 0.417 0.417
Ni3 0.417 0.811 0.417
Ni4 0.417 0.417 0.811
Ni5 0.583 0.583 0.189
Ni6 0.926 0.353 0.926
Ni7 0.583 0.189 0.583
Ni8 0.647 0.074 0.074
Ni9 0.353 0.926 0.926
Ni10 0.074 0.647 0.074
Ni11 0.926 0.926 0.353
Ni12 0.189 0.583 0.583
Co1 0.000 0.000 0.500
Co2 0.000 0.500 0.000
Co3 0.500 0.000 0.000
Si1 0.000 0.000 0.000
Tb1 0.650 0.650 0.650
Tb2 0.350 0.350 0.350
# ΔE_f (raw): 0.151 eV/atom

=====

Entry 12:
# Th2Co3SiNi12 PBE relaxed
data_Th2Co3SiNi12
_chemical_formula_sum 'Th2 Co3 Si1 Ni12'
_symmetry_space_group_name_H-M 'P 1'
_symmetry_Int_Tables_number 1
_cell_length_a 8.865
_cell_length_b 8.865
_cell_length_c 8.865
_cell_angle_alpha 39.99
_cell_angle_beta 39.99
_cell_angle_gamma 39.99
loop_
_symmetry_equiv_pos_as_xyz
'x,y,z'
loop_
_atom_site_label
_atom_site_fract_x
_atom_site_fract_y
_atom_site_fract_z
Ni1 0.582 0.582 0.190
Ni2 0.418 0.810 0.418
Ni3 0.073 0.649 0.073
Ni4 0.351 0.927 0.927
Ni5 0.073 0.073 0.649
Ni6 0.190 0.582 0.582
Ni7 0.927 0.927 0.351
Ni8 0.582 0.190 0.582
Ni9 0.649 0.073 0.073
Ni10 0.927 0.351 0.927
Ni11 0.418 0.418 0.810
Ni12 0.810 0.418 0.418
Co1 0.000 0.000 0.500
Co2 0.000 0.500 0.000
Co3 0.500 0.000 0.000
Th1 0.654 0.654 0.654
Th2 0.346 0.346 0.346
Si1 0.000 0.000 0.000
# ΔE_f (raw): 0.121 eV/atom